Material: RbZnFeF6
Method: DFT, PBE with a Hubbard U
State: relaxed

abc: 7.2310 7.5939 7.3603
angles: 121.06 119.42 90.00
Sites, in units of the cell vectors:
Rb  0.8826  0.6326  0.7651
Rb  0.1174  0.3674  0.2349
Zn  0.5000  0.0000  0.5000
Zn  0.0000  0.0000  0.5000
Fe  0.5000  0.5000  0.0000
Fe  0.5000  0.0000  0.0000
F  0.4319  0.6819  0.8638
F  0.8310  0.0810  0.6620
F  0.8107  0.0741  0.2429
F  0.4321  0.6688  0.2429
F  0.4321  0.0741  0.2429
F  0.8107  0.6688  0.2429
F  0.5681  0.3181  0.1362
F  0.1690  0.9190  0.3380
F  0.1893  0.9259  0.7571
F  0.5679  0.3312  0.7571
F  0.5679  0.9259  0.7571
F  0.1893  0.3312  0.7571

Output
total magnetic moment: 5.92 Bohr magnetons per cell
total energy: -40.6 eV per formula unit
crystal system: orthorhombic